Density functional theory data (GGA-PBE) for crystalline SnIrS at its relaxed geometry.

a b c (Å): 5.4522 3.8742 6.6522
angles (deg): 90.00 113.97 90.00
Sites, in units of the cell vectors:
Ir 0.9158 0.5000 0.7883
Sn 0.6238 0.0000 0.8555
S 0.1126 0.5000 0.1876
S 0.1126 0.0000 0.6876
Ir 0.9158 0.0000 0.2883
Sn 0.6238 0.5000 0.3555

Output
Magnetic moment, μB/f.u.: 0.00
DFT total energy, eV per atom: -5.73


Density functional theory data (GGA-PBE) for crystalline ZnCu3Au6 at its relaxed geometry.

a b c (Å): 6.7869 7.4304 7.4304
angles (deg): 117.43 90.00 90.00
Sites, in units of the cell vectors:
Cu 0.4883 0.6118 0.3882
Au 0.6817 0.2674 0.7326
Cu 0.4672 0.9584 0.7077
Au 0.3151 0.9532 0.0468
Cu 0.9883 0.3882 0.6118
Au 0.8151 0.0468 0.9532
Cu 0.9672 0.7077 0.9584
Zn 0.1287 0.1693 0.8307
Au 0.1558 0.7286 0.6479
Au 0.3127 0.1398 0.4950
Au 0.8127 0.4950 0.1398
Cu 0.9672 0.0416 0.2923
Au 0.8127 0.8602 0.5050
Au 0.1558 0.3521 0.2714
Zn 0.6287 0.8307 0.1693
Cu 0.4672 0.2923 0.0416
Au 0.3127 0.5050 0.8602
Au 0.6558 0.6479 0.7286
Au 0.1817 0.7326 0.2674
Au 0.6558 0.2714 0.3521

Output
ΔH_f (0 K), eV/f.u.: 0.0
Magnetic moment, μB/f.u.: 0.00
DFT total energy, eV per atom: -3.32


Density functional theory data (GGA-PBE) for crystalline TlCdFe2 at its relaxed geometry.

a b c (Å): 4.6042 4.6042 4.6042
angles (deg): 60.00 60.00 60.00
Sites, in units of the cell vectors:
Fe 0.2500 0.2500 0.2500
Cd 0.5000 0.5000 0.5000
Tl 0.7500 0.7500 0.7500
Fe 0.0000 0.0000 0.0000

Output
ΔH_f (0 K), eV/f.u.: 2.4
Magnetic moment, μB/f.u.: 5.27
DFT total energy, eV per atom: -4.46